Record 1
Material: YNi2
Method: DFT, GGA-PBE
State: optimized geometry

```
YNi2
1.0
4.995 0.000 0.000
0.000 4.995 0.000
0.000 0.000 4.880
Y Ni
2 4
direct
0.000 0.000 0.000
0.500 0.500 0.500
0.157 0.157 0.500
0.343 0.657 0.000
0.657 0.343 0.000
0.843 0.843 0.500
```

Values from the calculation:
total magnetization = 0.00 μB per formula unit
formation energy = 0.681 eV per atom
symmetry = No. 136


Record 2
Material: YPAuO
Method: DFT, GGA-PBE
State: optimized geometry

```
YPAuO
1.0
4.749 0.000 0.000
0.000 6.316 0.000
0.000 0.000 4.579
Y P Au O
2 2 2 2
direct
0.000 0.217 0.000
0.000 0.783 0.500
0.500 0.490 0.774
0.500 0.510 0.274
0.500 0.129 0.523
0.500 0.871 0.023
0.000 0.134 0.495
0.000 0.866 0.995
```

Values from the calculation:
total magnetization = 0.00 μB per formula unit
energy above the most stable polymorph in this dataset = 310 meV per atom
symmetry = No. 26


Record 3
Material: TaCo2
Method: DFT, GGA-PBE
State: optimized geometry

```
TaCo2
1.0
4.745 0.000 0.000
-2.372 4.109 0.000
0.000 0.000 15.487
Ta Co
8 16
direct
0.000 0.000 0.092
0.000 0.000 0.408
0.000 0.000 0.592
0.000 0.000 0.908
0.333 0.667 0.156
0.333 0.667 0.344
0.667 0.333 0.656
0.667 0.333 0.844
0.000 0.500 0.000
0.000 0.500 0.500
0.165 0.329 0.750
0.165 0.835 0.750
0.329 0.165 0.250
0.333 0.667 0.626
0.333 0.667 0.874
0.500 0.000 0.000
0.500 0.000 0.500
0.500 0.500 0.000
0.500 0.500 0.500
0.667 0.333 0.126
0.667 0.333 0.374
0.671 0.835 0.750
0.835 0.165 0.250
0.835 0.671 0.250
```

Values from the calculation:
total magnetization = 0.55 μB per formula unit
formation energy = -0.218 eV per atom
symmetry = No. 194


Record 4
Material: NdYNi4Sn2
Method: DFT, GGA-PBE
State: optimized geometry

```
NdYNi4Sn2
1.0
4.377 0.000 0.000
-2.189 3.791 0.000
0.000 0.000 8.890
Nd Y Ni Sn
1 1 4 2
direct
0.000 0.000 0.000
0.667 0.333 0.500
0.000 0.000 0.332
0.000 0.000 0.668
0.667 0.333 0.181
0.667 0.333 0.819
0.333 0.667 0.259
0.333 0.667 0.741
```

Values from the calculation:
total magnetization = 0.00 μB per formula unit
total DFT energy (no corrections) = -45.5 eV/cell
symmetry = No. 187


Record 5
Material: BiWAu
Method: DFT, GGA-PBE
State: optimized geometry

```
BiWAu
1.0
6.573 0.000 0.000
0.000 6.573 0.000
0.000 0.000 6.573
Bi W Au
4 4 4
direct
0.000 0.000 0.000
0.000 0.500 0.500
0.500 0.000 0.500
0.500 0.500 0.000
0.250 0.250 0.750
0.250 0.750 0.250
0.750 0.250 0.250
0.750 0.750 0.750
0.000 0.000 0.500
0.000 0.500 0.000
0.500 0.000 0.000
0.500 0.500 0.500
```

Values from the calculation:
total magnetization = 1.61 μB per formula unit
total DFT energy (no corrections) = -70.5 eV/cell
symmetry = No. 216


Record 6
Material: LiHfTlTe3
Method: DFT, GGA-PBE
State: optimized geometry

```
LiHfTlTe3
1.0
15.330 0.000 0.000
0.000 4.182 0.000
0.000 0.000 11.443
Li Hf Tl Te
4 4 4 12
direct
0.019 0.250 0.092
0.481 0.750 0.592
0.519 0.250 0.408
0.981 0.750 0.908
0.016 0.750 0.332
0.484 0.250 0.832
0.516 0.750 0.168
0.984 0.250 0.668
0.224 0.750 0.029
0.276 0.250 0.529
0.724 0.750 0.471
0.776 0.250 0.971
0.091 0.250 0.868
0.096 0.750 0.567
0.140 0.250 0.269
0.360 0.750 0.769
0.404 0.250 0.067
0.409 0.750 0.368
0.591 0.250 0.632
0.596 0.750 0.933
0.640 0.250 0.231
0.860 0.750 0.731
0.904 0.250 0.433
0.909 0.750 0.132
```

Values from the calculation:
total magnetization = 0.00 μB per formula unit
energy above the most stable polymorph in this dataset = 0 meV per atom
symmetry = No. 62


Record 7
Material: Pt10Pb
Method: DFT, GGA-PBE
State: optimized geometry

```
Pt10Pb
1.0
4.371 -1.965 0.000
4.371 1.965 0.000
-0.047 0.000 31.255
Pt Pb
20 2
direct
0.048 0.048 0.250
0.049 0.049 0.957
0.149 0.149 0.870
0.150 0.150 0.161
0.251 0.251 0.781
0.252 0.252 0.073
0.350 0.350 0.985
0.351 0.351 0.275
0.448 0.448 0.898
0.450 0.450 0.189
0.550 0.550 0.811
0.552 0.552 0.102
0.649 0.649 0.725
0.650 0.650 0.015
0.748 0.748 0.927
0.749 0.749 0.219
0.850 0.850 0.839
0.851 0.851 0.130
0.951 0.951 0.043
0.952 0.952 0.750
0.347 0.347 0.685
0.653 0.653 0.315
```

Values from the calculation:
total magnetization = 0.01 μB per formula unit
total DFT energy (no corrections) = -128.7 eV/cell
symmetry = No. 12


Record 8
Material: RbAgOs
Method: DFT, GGA-PBE
State: optimized geometry

```
RbAgOs
1.0
7.297 0.000 0.000
0.000 7.297 0.000
0.000 0.000 7.297
Rb Ag Os
4 4 4
direct
0.000 0.000 0.000
0.000 0.500 0.500
0.500 0.000 0.500
0.500 0.500 0.000
0.250 0.250 0.750
0.250 0.750 0.250
0.750 0.250 0.250
0.750 0.750 0.750
0.250 0.250 0.250
0.250 0.750 0.750
0.750 0.250 0.750
0.750 0.750 0.250
```

Values from the calculation:
total magnetization = 2.52 μB per formula unit
energy above the most stable polymorph in this dataset = 535 meV per atom
symmetry = No. 216